# 1
BePt2Br | PBEsol | optimized geometry

Properties
For the raw total energy, the calculation gives -19.31 eV for the cell shown. Its space group is Pmm2. Its uncorrected formation energy is 0.121 eV per atom.

```
BePt2Br
1.0
2.878 0.000 0.000
0.000 3.532 0.000
0.000 0.000 6.262
Pt Br Be
2 1 1
Cartesian
1.439 1.766 2.002 Pt
0.000 0.000 0.272 Pt
1.439 1.766 4.644 Br
0.000 0.000 2.475 Be
```

# 2
BePt2Br | PBEsol | optimized geometry

Properties
For the raw total energy, the calculation gives -17.52 eV for the cell shown. Its space group is F-43m. Its uncorrected formation energy is 0.570 eV per atom.

```
BePt2Br
1.0
4.435 0.000 0.000
2.217 3.841 0.000
2.217 1.280 3.621
Pt Br Be
2 1 1
Cartesian
6.652 3.841 2.716 Pt
0.000 0.000 0.000 Pt
2.217 1.280 0.905 Br
4.435 2.560 1.811 Be
```

# 3
Be2PtBr | PBEsol | optimized geometry

Properties
For the raw total energy, the calculation gives -17.65 eV for the cell shown. Its space group is Pmmm. Its uncorrected formation energy is -0.204 eV per atom.

```
Be2PtBr
1.0
2.883 0.000 0.000
0.000 3.223 0.000
0.000 0.000 6.232
Be Br Pt
2 1 1
Cartesian
0.000 0.000 1.974 Be
0.000 0.000 4.258 Be
1.442 0.000 0.000 Br
1.442 1.611 3.116 Pt
```

# 4
BePt2Br | PBEsol | optimized geometry

Properties
For the raw total energy, the calculation gives -18.92 eV for the cell shown. Its space group is Cmm2. Its uncorrected formation energy is 0.218 eV per atom.

```
BePt2Br
1.0
2.859 0.019 0.000
-1.350 2.521 0.000
0.000 0.000 8.505
Be Pt Br
1 2 1
Cartesian
0.000 0.000 4.335 Be
0.000 0.000 8.336 Pt
0.755 1.270 6.006 Pt
0.755 1.270 2.586 Br
```

# 5
BePt2Br | PBEsol | optimized geometry

Properties
For the raw total energy, the calculation gives -19.11 eV for the cell shown. Its space group is Immm. Its uncorrected formation energy is 0.171 eV per atom.

```
BePt2Br
1.0
-2.249 1.089 -1.561
-2.766 -1.340 3.051
2.963 4.270 1.488
Br Pt Be
1 2 1
Cartesian
-1.383 -0.670 1.525 Br
-2.226 2.436 2.125 Pt
0.174 1.582 0.853 Pt
-1.125 0.544 -0.781 Be
```

# 6
BePt2Br | PBEsol | optimized geometry

Properties
For the raw total energy, the calculation gives -20.18 eV for the cell shown. Its space group is C2/m. Its uncorrected formation energy is -0.096 eV per atom.

```
BePt2Br
1.0
2.744 0.000 0.000
-1.372 3.380 -0.100
0.000 -2.142 7.464
Be Pt Br
1 2 1
Cartesian
0.000 0.000 0.000 Be
0.000 1.974 1.121 Pt
1.372 -0.736 6.244 Pt
1.372 -1.071 3.732 Br
```

# 7
BePtBr2 | PBEsol | optimized geometry

Properties
For the raw total energy, the calculation gives -11.62 eV for the cell shown. Its space group is P4/mmm. Its uncorrected formation energy is 0.770 eV per atom.

```
BePtBr2
1.0
-1.898 -1.897 1.820
0.707 -3.539 -2.952
3.714 -1.331 2.485
Pt Be Br
1 1 2
Cartesian
1.261 -3.384 0.677 Pt
-0.949 -0.949 0.910 Be
1.857 -0.666 1.243 Br
0.353 -1.770 -1.476 Br
```

# 8
BePtBr2 | PBEsol | optimized geometry

Properties
For the raw total energy, the calculation gives -14.87 eV for the cell shown. Its space group is R3m. Its uncorrected formation energy is -0.043 eV per atom.

```
BePtBr2
1.0
-1.856 1.779 -1.916
-3.073 -0.798 -0.447
-3.904 5.244 5.967
Br Be Pt
2 1 1
Cartesian
-6.475 4.344 2.256 Br
-5.160 1.483 -1.673 Br
-2.236 1.616 0.982 Be
-4.307 2.875 1.476 Pt
```

# 9
Be2PtBr | PBEsol | optimized geometry

Properties
For the raw total energy, the calculation gives -17.78 eV for the cell shown. Its space group is Cm. Its uncorrected formation energy is -0.236 eV per atom.

```
Be2PtBr
1.0
-1.778 1.061 2.970
-3.051 -1.746 0.867
0.647 -4.070 5.041
Be Br Pt
2 1 1
Cartesian
-1.313 -4.009 6.145 Be
0.317 -3.823 4.910 Be
-1.560 -2.583 4.392 Br
-3.071 -0.788 2.911 Pt
```

# 10
BePtBr2 | PBEsol | optimized geometry

Properties
For the raw total energy, the calculation gives -15.13 eV for the cell shown. Its space group is Cmm2. Its uncorrected formation energy is -0.107 eV per atom.

```
BePtBr2
1.0
-0.976 3.013 -2.312
-2.326 -2.565 0.964
-1.849 3.859 5.810
Br Pt Be
2 1 1
Cartesian
-1.676 3.499 5.268 Br
-1.099 2.783 0.766 Br
-1.050 2.193 3.301 Pt
-1.772 4.186 2.879 Be
```

# 11
BePtBr2 | PBEsol | optimized geometry

Properties
For the raw total energy, the calculation gives -11.76 eV for the cell shown. Its space group is Fm-3m. Its uncorrected formation energy is 0.737 eV per atom.

```
BePtBr2
1.0
4.639 0.000 0.000
2.320 4.018 0.000
2.320 1.339 3.788
Pt Br Be
1 2 1
Cartesian
0.000 0.000 0.000 Pt
2.320 1.339 0.947 Br
6.959 4.018 2.841 Br
4.639 2.678 1.894 Be
```

# 12
BePt2Br | PBEsol | optimized geometry

Properties
For the raw total energy, the calculation gives -37.12 eV for the cell shown. Its space group is I-42d. Its uncorrected formation energy is 0.309 eV per atom.

```
BePt2Br
1.0
3.948 0.000 0.000
0.000 3.948 0.000
-1.974 -1.974 8.253
Pt Be Br
4 2 2
Cartesian
-0.987 -0.900 6.190 Pt
2.874 0.987 2.063 Pt
1.074 2.961 2.063 Pt
0.987 0.900 6.190 Pt
1.974 1.974 0.000 Be
1.974 0.000 4.126 Be
0.000 0.000 0.000 Br
0.000 1.974 4.126 Br
```

Look up the raw total energy of the eighth one.
-14.87 eV for the cell shown